Version a
{"formula": "NbRhNF2", "functional": "PBE-GGA", "state": "relaxed", "n_ef_per_ev_cell": 3.75, "space_group": "No. 123", "cell": [[4.133, 0.000, 0.000], [0.000, 4.133, 0.000], [0.000, 0.000, 4.064]], "species": ["Nb", "Rh", "N", "F", "F"], "frac_coords": [[0.000, 0.000, 0.000], [0.500, 0.500, 0.500], [0.000, 0.000, 0.500], [0.000, 0.500, 0.000], [0.500, 0.000, 0.000]]}



Version b
{"formula": "NbRhNF2", "functional": "PBE-GGA", "state": "relaxed", "n_ef_per_ev_cell": 5.19, "space_group": "No. 123", "cell": [[4.375, 0.000, 0.000], [0.000, 4.375, 0.000], [0.000, 0.000, 3.720]], "species": ["Nb", "Rh", "N", "F", "F"], "frac_coords": [[0.000, 0.000, 0.000], [0.500, 0.500, 0.500], [0.500, 0.500, 0.000], [0.000, 0.500, 0.500], [0.500, 0.000, 0.500]]}



Which structure is most stable? version a, by 72.5 kJ/mol of atoms over the runner-up.



Version a
{"formula": "NbSN2F", "functional": "PBE-GGA", "state": "relaxed", "n_ef_per_ev_cell": 3.30, "space_group": "No. 123", "cell": [[3.837, 0.000, 0.000], [0.000, 3.837, 0.000], [0.000, 0.000, 3.755]], "species": ["Nb", "S", "N", "N", "F"], "frac_coords": [[0.000, 0.000, 0.000], [0.500, 0.500, 0.500], [0.000, 0.500, 0.500], [0.500, 0.000, 0.500], [0.500, 0.500, 0.000]]}



Version b
{"formula": "NbSN2F", "functional": "PBE-GGA", "state": "relaxed", "n_ef_per_ev_cell": 2.36, "space_group": "No. 123", "cell": [[3.917, 0.000, 0.000], [0.000, 3.917, 0.000], [0.000, 0.000, 3.728]], "species": ["Nb", "S", "N", "N", "F"], "frac_coords": [[0.000, 0.000, 0.000], [0.500, 0.500, 0.000], [0.000, 0.500, 0.500], [0.500, 0.000, 0.500], [0.500, 0.500, 0.500]]}



Version c
{"formula": "NbSN2F", "functional": "PBE-GGA", "state": "relaxed", "n_ef_per_ev_cell": 3.21, "space_group": "No. 123", "cell": [[4.025, 0.000, 0.000], [0.000, 4.025, 0.000], [0.000, 0.000, 5.005]], "species": ["Nb", "S", "N", "N", "F"], "frac_coords": [[0.000, 0.000, 0.000], [0.000, 0.000, 0.500], [0.000, 0.500, 0.000], [0.500, 0.000, 0.000], [0.500, 0.500, 0.500]]}



Which structure is most stable? version c, by 50.6 kJ/mol of atoms over the runner-up.



Version a
{"formula": "NbSeNF2", "functional": "PBE-GGA", "state": "relaxed", "n_ef_per_ev_cell": 3.76, "space_group": "No. 123", "cell": [[4.110, 0.000, 0.000], [0.000, 4.110, 0.000], [0.000, 0.000, 4.195]], "species": ["Nb", "Se", "N", "F", "F"], "frac_coords": [[0.000, 0.000, 0.000], [0.500, 0.500, 0.500], [0.000, 0.000, 0.500], [0.000, 0.500, 0.000], [0.500, 0.000, 0.000]]}



Version b
{"formula": "NbSeNF2", "functional": "PBE-GGA", "state": "relaxed", "n_ef_per_ev_cell": 8.20, "space_group": "No. 123", "cell": [[4.484, 0.000, 0.000], [0.000, 4.484, 0.000], [0.000, 0.000, 3.816]], "species": ["Nb", "Se", "N", "F", "F"], "frac_coords": [[0.000, 0.000, 0.000], [0.500, 0.500, 0.500], [0.500, 0.500, 0.000], [0.000, 0.500, 0.500], [0.500, 0.000, 0.500]]}



Which structure is most stable? version a, by 125.6 kJ/mol of atoms over the runner-up.



Version a
{"formula": "NbSeN2F", "functional": "PBE-GGA", "state": "relaxed", "n_ef_per_ev_cell": 5.61, "space_group": "No. 123", "cell": [[3.963, 0.000, 0.000], [0.000, 3.963, 0.000], [0.000, 0.000, 5.389]], "species": ["Nb", "Se", "N", "N", "F"], "frac_coords": [[0.000, 0.000, 0.000], [0.000, 0.000, 0.500], [0.000, 0.500, 0.000], [0.500, 0.000, 0.000], [0.500, 0.500, 0.500]]}



Version b
{"formula": "NbSeN2F", "functional": "PBE-GGA", "state": "relaxed", "n_ef_per_ev_cell": 2.05, "space_group": "No. 123", "cell": [[4.008, 0.000, 0.000], [0.000, 4.008, 0.000], [0.000, 0.000, 3.872]], "species": ["Nb", "Se", "N", "N", "F"], "frac_coords": [[0.000, 0.000, 0.000], [0.500, 0.500, 0.000], [0.000, 0.500, 0.500], [0.500, 0.000, 0.500], [0.500, 0.500, 0.500]]}



Which structure is most stable? version a, by 115.7 kJ/mol of atoms over the runner-up.



Version a
{"formula": "NbSeN2F", "functional": "PBE-GGA", "state": "relaxed", "n_ef_per_ev_cell": 1.96, "space_group": "No. 123", "cell": [[4.143, 0.000, 0.000], [0.000, 4.143, 0.000], [0.000, 0.000, 4.058]], "species": ["Nb", "Se", "N", "N", "F"], "frac_coords": [[0.000, 0.000, 0.000], [0.500, 0.500, 0.500], [0.000, 0.500, 0.000], [0.500, 0.000, 0.000], [0.000, 0.000, 0.500]]}



Version b
{"formula": "NbSeN2F", "functional": "PBE-GGA", "state": "relaxed", "n_ef_per_ev_cell": 3.49, "space_group": "No. 123", "cell": [[4.045, 0.000, 0.000], [0.000, 4.045, 0.000], [0.000, 0.000, 3.850]], "species": ["Nb", "Se", "N", "N", "F"], "frac_coords": [[0.000, 0.000, 0.000], [0.500, 0.500, 0.500], [0.000, 0.500, 0.500], [0.500, 0.000, 0.500], [0.500, 0.500, 0.000]]}



Which structure is most stable? version a, by 98.0 kJ/mol of atoms over the runner-up.



Version a
{"formula": "NbSe2NF", "functional": "PBE-GGA", "state": "relaxed", "n_ef_per_ev_cell": 2.93, "space_group": "No. 123", "cell": [[5.084, 0.000, 0.000], [0.000, 5.084, 0.000], [0.000, 0.000, 3.999]], "species": ["Nb", "Se", "Se", "N", "F"], "frac_coords": [[0.000, 0.000, 0.000], [0.000, 0.500, 0.000], [0.500, 0.000, 0.000], [0.000, 0.000, 0.500], [0.500, 0.500, 0.500]]}



Version b
{"formula": "NbSe2NF", "functional": "PBE-GGA", "state": "relaxed", "n_ef_per_ev_cell": 2.58, "space_group": "No. 123", "cell": [[4.545, 0.000, 0.000], [0.000, 4.545, 0.000], [0.000, 0.000, 3.789]], "species": ["Nb", "Se", "Se", "N", "F"], "frac_coords": [[0.000, 0.000, 0.000], [0.000, 0.500, 0.500], [0.500, 0.000, 0.500], [0.500, 0.500, 0.000], [0.500, 0.500, 0.500]]}



Which structure is most stable? version a, by 97.0 kJ/mol of atoms over the runner-up.